Computed, not measured: an optimized crystal structure of NaVInO4 at the GGA+U level of DFT.

Cell: 5.7688 5.9904 7.0738 Å, 90.00 99.90 90.00°
Last column: nearest neighbours and their distance in Å.
Element x y z (fractional)
Na (0.8282, 0.7500, 0.0546)  5 O 2.33-2.58
Na (0.1718, 0.2500, 0.9454)  5 O 2.33-2.58
V (0.3300, 0.7500, 0.3127)  4 O 1.73-1.78
V (0.6700, 0.2500, 0.6873)  4 O 1.73-1.78
In (0.8910, 0.7500, 0.5916)  4 O 2.21-2.24
In (0.1090, 0.2500, 0.4084)  4 O 2.21-2.24
O (0.8152, 0.4903, 0.7980)  1 V 1.78
O (0.1848, 0.9903, 0.2020)  1 V 1.78
O (0.1848, 0.5097, 0.2020)  1 V 1.78
O (0.8152, 0.0097, 0.7980)  1 V 1.78
O (0.6366, 0.7500, 0.3192)  1 V 1.76
O (0.3634, 0.2500, 0.6808)  1 V 1.76
O (0.2651, 0.7500, 0.5422)  1 V 1.73
O (0.7349, 0.2500, 0.4578)  1 V 1.73

Space-group type: P2_1/m (11)
DFT total energy, eV/atom: -6.13
Size of the total moment, μB per atom: 0.00